# ZnPd6Au12 (GGA-PBE, relaxed)
# E_tot ... -3.77 eV per atom
# Total moment ... 0.00 μB per cell
# Formation enthalpy at 0 K ... 0.24 kcal/mol of atoms
# Crystal system ... trigonal
data_ZnPd6Au12
_chemical_formula_sum 'Zn3 Pd18 Au36'
_cell_length_a 11.3879
_cell_length_b 11.3879
_cell_length_c 9.0405
_cell_angle_alpha 90.00
_cell_angle_beta 90.00
_cell_angle_gamma 120.00
_space_group_name_H-M_alt 'R -3'
_space_group_IT_number 148
_space_group_name_Hall '-R 3'
loop_
_atom_site_label
_atom_site_fract_x
_atom_site_fract_y
_atom_site_fract_z
_atom_site_occupancy
Zn1 0.0000 0.0000 0.0000 1
Pd1 0.0607 0.1638 0.7494 1
Au1 0.0084 0.2532 0.0175 1
Au2 0.0744 0.5098 0.1188 1